1.
This record from Alexandria describes an optimized crystal structure of LiZr2S2. The functional is GGA-PBE.

```
10
Lattice="7.341 0.000 0.000 0.000 7.341 0.000 0.000 0.000 3.301" Properties=species:S:1:pos:R:3 pbc="T T T"
Li 0.000 0.000 0.000
Li 3.670 3.670 0.000
Zr 1.091 2.580 0.000
Zr 2.580 6.250 0.000
Zr 4.761 1.091 0.000
Zr 6.250 4.761 0.000
S 1.063 4.733 1.651
S 2.608 1.063 1.651
S 4.733 6.278 1.651
S 6.278 2.608 1.651
```

Calculated values
**E above lowest polymorph**: 0.254 eV per atom
**DOS at the Fermi energy**: 1.11 states/eV/atom
**E_tot**: -0.2309 hartree per atom
**Magnetic moment**: 0.000 μB/atom
**ΔE_f (raw)**: -0.83 eV/atom

2.
This record from Alexandria describes an optimized crystal structure of NaRePS2. The functional is GGA-PBE.

```
5
Lattice="4.766 0.000 0.000 0.000 4.766 0.000 0.000 0.000 4.627" Properties=species:S:1:pos:R:3 pbc="T T T"
Na 0.000 0.000 0.000
Re 2.383 2.383 2.313
P 2.383 2.383 0.000
S 0.000 2.383 2.313
S 2.383 0.000 2.313
```

Calculated values
**E above lowest polymorph**: 0.000 eV per atom
**DOS at the Fermi energy**: 0.71 states/eV/atom
**E_tot**: -0.2002 hartree per atom
**Magnetic moment**: 0.000 μB/atom
**ΔE_f (raw)**: 0.04 eV/atom